Material: ZnRu2W
Method: DFT, meta-GGA SCAN
State: PBEsol geometry

The structure belongs to space group R3m (No. 160, hexagonal axes); the cell edges are 2.7164, 2.7164 and 26.3979 Å and the angles 90.00°, 90.00° and 120.00°. The asymmetric unit holds Zn at (0.0000, 0.0000, 0.0000), Ru at (0.0000, 0.0000, 0.2520), Ru at (0.0000, 0.0000, 0.5055) and W at (0.0000, 0.0000, 0.7548).

The formation enthalpy at 0 K is 182.5 meV/atom. As for the total energy: -456.4 eV/cell. As for the density of states at the Fermi level: 1.05 states/eV/atom.

***

Material: Zr2RuW
Method: DFT, meta-GGA SCAN
State: PBEsol geometry

The structure belongs to space group I-4m2 (No. 119); the cell edges are 3.8548, 3.8548 and 9.5735 Å and the angles 90.00°, 90.00° and 90.00°. The asymmetric unit holds Zr at (0.0000, 0.0000, 0.0000), Zr at (0.0000, 0.5000, 0.2500), Ru at (0.0000, 0.0000, 0.5000) and W at (0.0000, 0.5000, 0.7500).

The formation enthalpy at 0 K is 15.9 meV/atom. As for the total energy: -331.7 eV/cell. As for the density of states at the Fermi level: 0.98 states/eV/atom.

***

Material: ZrRuW2
Method: DFT, meta-GGA SCAN
State: PBEsol geometry

The structure belongs to space group Fm-3m (No. 225); the cell edges are 6.3447, 6.3447 and 6.3447 Å and the angles 90.00°, 90.00° and 90.00°. The asymmetric unit holds Zr at (0.0000, 0.0000, 0.0000), Ru at (0.0000, 0.0000, 0.5000) and W at (0.2500, 0.2500, 0.2500).

The formation enthalpy at 0 K is 204.7 meV/atom. As for the total energy: -816.3 eV/cell. Its energy above the lowest structure with this stoichiometry is 329 meV/atom. As for the density of states at the Fermi level: 0.73 states/eV/atom.

***

Material: ZrRuW2
Method: DFT, meta-GGA SCAN
State: PBEsol geometry

The structure belongs to space group Pmmm (No. 47); the cell edges are 3.1660, 4.4096 and 4.6341 Å and the angles 90.00°, 90.00° and 90.00°. The asymmetric unit holds Zr at (0.0000, 0.0000, 0.0000), Ru at (0.5000, 0.5000, 0.0000), W at (0.0000, 0.5000, 0.5000) and W at (0.5000, 0.0000, 0.5000).

The formation enthalpy at 0 K is -103.1 meV/atom. As for the total energy: -205.3 eV/cell. Its energy above the lowest structure with this stoichiometry is 21 meV/atom. As for the density of states at the Fermi level: 0.47 states/eV/atom.

***

Look up the formation enthalpy at 0 K of the third one.
204.7 meV/atom